# GGA+U SiWI2O, relaxed
data_SiWI2O
_symmetry_space_group_name_H-M 'P 1'
_symmetry_Int_Tables_number 1
_symmetry_space_group_name_Hall 'P 1'
_cell_length_a 5.828
_cell_length_b 5.828
_cell_length_c 3.545
_cell_angle_alpha 90.00
_cell_angle_beta 90.00
_cell_angle_gamma 90.00
loop_
_atom_site_label
_atom_site_type_symbol
_atom_site_fract_x
_atom_site_fract_y
_atom_site_fract_z
Si1 Si 0.000 0.000 0.000
W1 W 0.500 0.500 0.500
I1 I 0.000 0.500 0.000
I2 I 0.500 0.000 0.000
O1 O 0.000 0.000 0.500
# - total magnetic moment (μB/atom) = 0.937
# - space group = No. 123
# - energy (eV/atom) = -3.90